Record 1
# Mg2TiF2 | Alexandria via LeMat-Bulk | PBE | relaxed
data_Mg2TiF2
_space_group_name_H-M_alt 'I 4/m m m'
_space_group_IT_number 139
_space_group_name_Hall '-I 4 2'
_cell_length_a 4.584
_cell_length_b 4.584
_cell_length_c 8.604
_cell_angle_alpha 90.00
_cell_angle_beta 90.00
_cell_angle_gamma 90.00
loop_
_atom_site_label
_atom_site_type_symbol
_atom_site_fract_x
_atom_site_fract_y
_atom_site_fract_z
Mg1 Mg 0.000 0.500 0.250
Ti1 Ti 0.000 0.000 0.000
F1 F 0.000 0.000 0.252
# **Formation energy without anion corrections**: -1.10 eV/atom

Record 2
# MgTiF2 | Alexandria via LeMat-Bulk | PBE | relaxed
data_MgTiF2
_space_group_name_H-M_alt 'F m -3 m'
_space_group_IT_number 225
_space_group_name_Hall '-F 4 2 3'
_cell_length_a 6.074
_cell_length_b 6.074
_cell_length_c 6.074
_cell_angle_alpha 90.00
_cell_angle_beta 90.00
_cell_angle_gamma 90.00
loop_
_atom_site_label
_atom_site_type_symbol
_atom_site_fract_x
_atom_site_fract_y
_atom_site_fract_z
Mg1 Mg 0.000 0.000 0.000
Ti1 Ti 0.000 0.000 0.500
F1 F 0.250 0.250 0.250
# **Formation energy without anion corrections**: -1.24 eV/atom

Record 3
# MgTiF6 | Alexandria via LeMat-Bulk | PBE | relaxed
data_MgTiF6
_space_group_name_H-M_alt 'P -3 1 c'
_space_group_IT_number 163
_space_group_name_Hall '-P 3 2c'
_cell_length_a 5.0849
_cell_length_b 5.0849
_cell_length_c 9.2908
_cell_angle_alpha 90.00
_cell_angle_beta 90.00
_cell_angle_gamma 120.00
loop_
_atom_site_label
_atom_site_type_symbol
_atom_site_fract_x
_atom_site_fract_y
_atom_site_fract_z
Mg1 Mg 0.3333 0.6667 0.2500
Ti1 Ti 0.0000 0.0000 0.0000
F1 F 0.0504 0.3250 0.1183
# **Formation energy without anion corrections**: -3.46 eV/atom

Record 4
# MgTi2F | Alexandria via LeMat-Bulk | PBE | relaxed
data_MgTi2F
_space_group_name_H-M_alt 'F m -3 m'
_space_group_IT_number 225
_space_group_name_Hall '-F 4 2 3'
_cell_length_a 6.492
_cell_length_b 6.492
_cell_length_c 6.492
_cell_angle_alpha 90.00
_cell_angle_beta 90.00
_cell_angle_gamma 90.00
loop_
_atom_site_label
_atom_site_type_symbol
_atom_site_fract_x
_atom_site_fract_y
_atom_site_fract_z
Mg1 Mg 0.000 0.000 0.000
Ti1 Ti 0.250 0.250 0.250
F1 F 0.000 0.000 0.500
# **Formation energy without anion corrections**: 0.13 eV/atom

Record 5
# MgTiF2 | Alexandria via LeMat-Bulk | PBE | relaxed
data_MgTiF2
_space_group_name_H-M_alt 'R -3 m'
_space_group_IT_number 166
_space_group_name_Hall '-R 3 2"'
_cell_length_a 3.1777
_cell_length_b 3.1777
_cell_length_c 19.2609
_cell_angle_alpha 90.00
_cell_angle_beta 90.00
_cell_angle_gamma 120.00
loop_
_atom_site_label
_atom_site_type_symbol
_atom_site_fract_x
_atom_site_fract_y
_atom_site_fract_z
Mg1 Mg 0.0000 0.0000 0.0000
Ti1 Ti 0.0000 0.0000 0.5000
F1 F 0.0000 0.0000 0.3805
# **Formation energy without anion corrections**: -2.06 eV/atom

Record 6
# MgTiF2 | Alexandria via LeMat-Bulk | PBE | relaxed
data_MgTiF2
_space_group_name_H-M_alt 'R -3 m'
_space_group_IT_number 166
_space_group_name_Hall '-R 3 2"'
_cell_length_a 2.8798
_cell_length_b 2.8798
_cell_length_c 23.0641
_cell_angle_alpha 90.00
_cell_angle_beta 90.00
_cell_angle_gamma 120.00
loop_
_atom_site_label
_atom_site_type_symbol
_atom_site_fract_x
_atom_site_fract_y
_atom_site_fract_z
Mg1 Mg 0.0000 0.0000 0.0000
Ti1 Ti 0.0000 0.0000 0.5000
F1 F 0.0000 0.0000 0.1040
# **Formation energy without anion corrections**: -1.93 eV/atom

Record 7
# MgTiF2 | Alexandria via LeMat-Bulk | PBE | relaxed
data_MgTiF2
_space_group_name_H-M_alt 'I -4 2 d'
_space_group_IT_number 122
_space_group_name_Hall 'I -4 2bw'
_cell_length_a 5.050
_cell_length_b 5.050
_cell_length_c 9.774
_cell_angle_alpha 90.00
_cell_angle_beta 90.00
_cell_angle_gamma 90.00
loop_
_atom_site_label
_atom_site_type_symbol
_atom_site_fract_x
_atom_site_fract_y
_atom_site_fract_z
Mg1 Mg 0.000 0.000 0.000
Ti1 Ti 0.000 0.000 0.500
F1 F 0.188 0.250 0.125
# **Formation energy without anion corrections**: -1.73 eV/atom

Record 8
# MgTi2F | Alexandria via LeMat-Bulk | PBE | relaxed
data_MgTi2F
_space_group_name_H-M_alt 'I -4 2 d'
_space_group_IT_number 122
_space_group_name_Hall 'I -4 2bw'
_cell_length_a 5.194
_cell_length_b 5.194
_cell_length_c 12.116
_cell_angle_alpha 90.00
_cell_angle_beta 90.00
_cell_angle_gamma 90.00
loop_
_atom_site_label
_atom_site_type_symbol
_atom_site_fract_x
_atom_site_fract_y
_atom_site_fract_z
Mg1 Mg 0.000 0.000 0.000
Ti1 Ti 0.032 0.250 0.625
F1 F 0.000 0.000 0.500
# **Formation energy without anion corrections**: -0.31 eV/atom

Record 9
# Mg3TiTl2F12 | Alexandria via LeMat-Bulk | PBE | relaxed
data_Mg3TiTl2F12
_space_group_name_H-M_alt 'R -3 m'
_space_group_IT_number 166
_space_group_name_Hall '-R 3 2"'
_cell_length_a 7.2954
_cell_length_b 7.2954
_cell_length_c 18.6412
_cell_angle_alpha 90.00
_cell_angle_beta 90.00
_cell_angle_gamma 120.00
loop_
_atom_site_label
_atom_site_type_symbol
_atom_site_fract_x
_atom_site_fract_y
_atom_site_fract_z
Mg1 Mg 0.0000 0.5000 0.0000
Ti1 Ti 0.0000 0.0000 0.5000
Tl1 Tl 0.0000 0.0000 0.0939
F1 F 0.0694 0.5347 0.3560
F2 F 0.0891 0.5445 0.1083
# **Formation energy without anion corrections**: -3.13 eV/atom

Record 10
# MgZr2TiF | Alexandria via LeMat-Bulk | PBE | relaxed
data_MgZr2TiF
_space_group_name_H-M_alt 'P 4/m m m'
_space_group_IT_number 123
_space_group_name_Hall '-P 4 2'
_cell_length_a 5.586
_cell_length_b 5.586
_cell_length_c 3.502
_cell_angle_alpha 90.00
_cell_angle_beta 90.00
_cell_angle_gamma 90.00
loop_
_atom_site_label
_atom_site_type_symbol
_atom_site_fract_x
_atom_site_fract_y
_atom_site_fract_z
Mg1 Mg 0.000 0.000 0.000
Zr1 Zr 0.000 0.500 0.000
Ti1 Ti 0.500 0.500 0.500
F1 F 0.000 0.000 0.500
# **Formation energy without anion corrections**: 0.25 eV/atom

Record 11
# MgTlF2 | Alexandria via LeMat-Bulk | PBE | relaxed
data_MgTlF2
_space_group_name_H-M_alt 'I 41/a m d'
_space_group_IT_number 141
_cell_length_a 6.165
_cell_length_b 6.165
_cell_length_c 8.850
_cell_angle_alpha 90.00
_cell_angle_beta 90.00
_cell_angle_gamma 90.00
loop_
_space_group_symop_operation_xyz
'x,y,z'
'-x,-y,-z'
'-y+1/4,x+3/4,z+1/4'
'y+1/4,-x+3/4,-z+1/4'
'-x+1/2,-y,z+1/2'
'x+1/2,y,-z+1/2'
'y+1/4,-x+1/4,z+3/4'
'-y+1/4,x+1/4,-z+3/4'
'x,-y,-z'
'-x,y,z'
'-y+1/4,-x+1/4,-z+3/4'
'y+1/4,x+1/4,z+3/4'
'-x+1/2,y,-z+1/2'
'x+1/2,-y,z+1/2'
'y+1/4,x+3/4,-z+1/4'
'-y+1/4,-x+3/4,z+1/4'
'x+1/2,y+1/2,z+1/2'
'-x+1/2,-y+1/2,-z+1/2'
'-y+3/4,x+1/4,z+3/4'
'y+3/4,-x+1/4,-z+3/4'
'-x,-y+1/2,z'
'x,y+1/2,-z'
'y+3/4,-x+3/4,z+1/4'
'-y+3/4,x+3/4,-z+1/4'
'x+1/2,-y+1/2,-z+1/2'
'-x+1/2,y+1/2,z+1/2'
'-y+3/4,-x+3/4,-z+1/4'
'y+3/4,x+3/4,z+1/4'
'-x,y+1/2,-z'
'x,-y+1/2,z'
'y+3/4,x+1/4,-z+3/4'
'-y+3/4,-x+1/4,z+3/4'
loop_
_atom_site_label
_atom_site_type_symbol
_atom_site_fract_x
_atom_site_fract_y
_atom_site_fract_z
Mg1 Mg 0.000 0.250 0.375
Tl1 Tl 0.000 0.250 0.875
F1 F 0.000 0.000 0.500
# **Formation energy without anion corrections**: -2.32 eV/atom

Record 12
# MgTlF2 | Alexandria via LeMat-Bulk | PBE | relaxed
data_MgTlF2
_space_group_name_H-M_alt 'R -3 m'
_space_group_IT_number 166
_space_group_name_Hall '-R 3 2"'
_cell_length_a 3.1903
_cell_length_b 3.1903
_cell_length_c 27.1401
_cell_angle_alpha 90.00
_cell_angle_beta 90.00
_cell_angle_gamma 120.00
loop_
_atom_site_label
_atom_site_type_symbol
_atom_site_fract_x
_atom_site_fract_y
_atom_site_fract_z
Mg1 Mg 0.0000 0.0000 0.0000
Tl1 Tl 0.0000 0.0000 0.5000
F1 F 0.0000 0.0000 0.3670
# **Formation energy without anion corrections**: -2.48 eV/atom

Record 13
# MgTlF6 | Alexandria via LeMat-Bulk | PBE | relaxed
data_MgTlF6
_space_group_name_H-M_alt 'P -1'
_space_group_IT_number 2
_cell_length_a 5.218
_cell_length_b 5.222
_cell_length_c 5.760
_cell_angle_alpha 63.13
_cell_angle_beta 63.13
_cell_angle_gamma 60.06
loop_
_space_group_symop_operation_xyz
'x,y,z'
'-x,-y,-z'
loop_
_atom_site_label
_atom_site_type_symbol
_atom_site_fract_x
_atom_site_fract_y
_atom_site_fract_z
Mg1 Mg 0.000 0.000 0.000
Tl1 Tl 0.500 0.500 0.500
F1 F 0.092 0.383 0.761
F2 F 0.236 0.909 0.239
F3 F 0.384 0.763 0.762
# **Formation energy without anion corrections**: -2.12 eV/atom

Fermi-level density of states: 8.86 1.97 0.00 21.71 4.85 7.64 12.45 19.36 0.00 6.70 7.85 2.24 10.73 (states/eV per cell)